DyHo3Tm after structural relaxation. Source: Alexandria via LeMat-Bulk, functional PBE.

DFT total energy = -4.233 eV/atom
density of states at the Fermi level = 18.193 states/eV/cell
total magnetization = 0.00 μB/f.u.
E above lowest polymorph = 326 meV/atom

Lattice parameters (Å, degrees): 3.580 11.449 8.380 90.00 102.32 90.00
Space group P2_1/m (No. 11)
Symmetry-distinct sites (fractional):
1 Dy 0.186 0.250 0.371 x2
2 Ho 0.153 0.750 0.306 x2
3 Ho 0.349 0.000 0.698 x4
4 Tm 0.486 0.750 0.973 x2

Co2AgRu2 after structural relaxation. Source: Alexandria via LeMat-Bulk, functional PBE.

DFT total energy = -6.703 eV/atom
density of states at the Fermi level = 13.364 states/eV/cell
total magnetization = 3.19 μB/f.u.
E above lowest polymorph = 42 meV/atom

Lattice parameters (Å, degrees): 7.286 7.286 2.637 90.00 90.00 90.00
Space group P4/mbm (No. 127)
Symmetry-distinct sites (fractional):
1 Co 0.167 0.333 0.000 x4
2 Ag 0.000 0.000 0.500 x2
3 Ru 0.125 0.625 0.500 x4

Pm4Th3 after structural relaxation. Source: Alexandria via LeMat-Bulk, functional PBE.

DFT total energy = -5.844 eV/atom
density of states at the Fermi level = 20.703 states/eV/cell
total magnetization = 0.00 μB/f.u.

Lattice parameters (Å, degrees): 15.765 3.616 8.867 90.00 111.98 90.00
Space group Cm (No. 8)
Symmetry-distinct sites (fractional):
1 Pm 0.000 0.000 0.000 x2
2 Pm 0.066 0.500 0.709 x2
3 Pm 0.278 0.000 0.852 x2
4 Pm 0.422 0.000 0.289 x2
5 Th 0.142 0.000 0.425 x2
6 Th 0.211 0.500 0.148 x2
7 Th 0.349 0.500 0.567 x2

- What is the density of states at the Fermi level in the third record?
  20.703 states/eV/cell

Copy entry 2 word for word.
Co2AgRu2 after structural relaxation. Source: Alexandria via LeMat-Bulk, functional PBE.

DFT total energy = -6.703 eV/atom
density of states at the Fermi level = 13.364 states/eV/cell
total magnetization = 3.19 μB/f.u.
E above lowest polymorph = 42 meV/atom

Lattice parameters (Å, degrees): 7.286 7.286 2.637 90.00 90.00 90.00
Space group P4/mbm (No. 127)
Symmetry-distinct sites (fractional):
1 Co 0.167 0.333 0.000 x4
2 Ag 0.000 0.000 0.500 x2
3 Ru 0.125 0.625 0.500 x4

Please write out number 1 again, unchanged.
DyHo3Tm after structural relaxation. Source: Alexandria via LeMat-Bulk, functional PBE.

DFT total energy = -4.233 eV/atom
density of states at the Fermi level = 18.193 states/eV/cell
total magnetization = 0.00 μB/f.u.
E above lowest polymorph = 326 meV/atom

Lattice parameters (Å, degrees): 3.580 11.449 8.380 90.00 102.32 90.00
Space group P2_1/m (No. 11)
Symmetry-distinct sites (fractional):
1 Dy 0.186 0.250 0.371 x2
2 Ho 0.153 0.750 0.306 x2
3 Ho 0.349 0.000 0.698 x4
4 Tm 0.486 0.750 0.973 x2

- Which value of total magnetization does entry 2 give?
  3.19 μB/f.u.